Record 1
PrNd2H7: optimized geometry, PBE-GGA.

Unit cell a=3.8658 b=3.8658 c=8.6384 alpha=102.93 beta=102.93 gamma=90.00
Closest atoms and distances in Å follow each position.
Element x y z (fractional)
H 0.5875 0.0875 0.1750  2 Nd 2.32, 2 Pr 2.41, 2 H 2.41
H 0.4125 0.9125 0.8250  2 Nd 2.32, 2 Pr 2.41, 2 H 2.41
H 0.7500 0.2500 0.5000  4 Nd 2.37
H 0.2500 0.7500 0.5000  4 Nd 2.37
H 0.0875 0.5875 0.1750  2 Nd 2.32, 2 H 2.41, 2 Pr 2.41
Pr 0.0000 0.0000 0.0000  8 H 2.41
Nd 0.6661 0.6661 0.3323  8 H 2.32-2.37
H 0.5000 0.5000 0.0000  8 H 2.41
Nd 0.3339 0.3339 0.6677  8 H 2.32-2.37
H 0.9125 0.4125 0.8250  2 Nd 2.32, 2 H 2.41, 2 Pr 2.41

Summary:
Raw total energy: -43.82 eV per cell
Spin magnetization: 0.0 μB per formula unit


Record 2
RbTcS2: optimized geometry, PBE-GGA.

Unit cell a=3.9080 b=3.9091 c=7.1392 alpha=105.87 beta=105.89 gamma=90.00
Closest atoms and distances in Å follow each position.
Element x y z (fractional)
Rb 0.2214 0.8818 0.2283  8 S 3.49-3.50, 4 Tc 3.83, 4 Rb 3.91
Tc 0.4713 0.6310 0.7282  4 S 2.27
S 0.5591 0.2186 0.9037  2 Tc 2.27
S 0.8835 0.5433 0.5526  2 Tc 2.27

Summary:
Energy relative to the lowest polymorph listed for this composition: 131 meV per atom
Raw total energy: -21.85 eV per cell
Spin magnetization: 0.0 μB per formula unit


Record 3
BeAsOs2: optimized geometry, PBE-GGA.

Unit cell a=2.7408 b=2.7408 c=8.3840 alpha=90.00 beta=90.00 gamma=118.19
Closest atoms and distances in Å follow each position.
Element x y z (fractional)
Be 0.5000 0.5000 0.7500  4 Os 2.32
Os 0.0000 0.0000 0.5298  2 Be 2.32
Os 0.0000 0.0000 0.9702  2 Be 2.32
As 0.5000 0.5000 0.2500  4 Os 2.74, 6 As 2.74-2.82

Summary:
Energy relative to the lowest polymorph listed for this composition: 387 meV per atom
Formation energy from the elements: 511 meV/atom
Raw total energy: -28.79 eV per cell
Spin magnetization: 0.0 μB per formula unit


Record 4
NbAl3Se: optimized geometry, PBE-GGA.

Unit cell a=5.1047 b=5.1047 c=5.1047 alpha=90.00 beta=90.00 gamma=90.00
Closest atoms and distances in Å follow each position.
Element x y z (fractional)
Nb 0.0000 0.0000 0.0000  6 Al 2.55
Se 0.5000 0.5000 0.5000  12 Al 3.61
Al 0.0000 0.5000 0.0000  2 Nb 2.55
Al 0.0000 0.0000 0.5000  2 Nb 2.55
Al 0.5000 0.0000 0.0000  2 Nb 2.55

Summary:
Energy relative to the lowest polymorph listed for this composition: 27 meV per atom
Raw total energy: -20.01 eV per cell
Spin magnetization: 2.2 μB per formula unit


Record 5
CaCd4Pd: optimized geometry, PBE-GGA.

Unit cell a=5.7135 b=5.7135 c=5.7135 alpha=60.00 beta=60.00 gamma=60.00
Closest atoms and distances in Å follow each position.
Element x y z (fractional)
Cd 0.6260 0.6259 0.1222  6 Cd 2.84-2.88
Cd 0.6260 0.6259 0.6259  6 Cd 2.84-2.88
Cd 0.1222 0.6259 0.6259  6 Cd 2.84-2.88
Cd 0.6260 0.1222 0.6259  6 Cd 2.84-2.88
Ca 0.2500 0.2500 0.2500  12 Cd 3.35, 4 Pd 3.50
Pd 0.0000 0.0000 0.0000  12 Cd 3.35, 4 Ca 3.50

Summary:
Energy relative to the lowest polymorph listed for this composition: 124 meV per atom
Formation energy from the elements: -222 meV/atom
Raw total energy: -12.19 eV per cell
Spin magnetization: 0.0 μB per formula unit


Record 6
Cr2ReRh: optimized geometry, PBE-GGA.

Unit cell a=3.6795 b=2.6679 c=6.0259 alpha=63.83 beta=90.00 gamma=90.00
Closest atoms and distances in Å follow each position.
Element x y z (fractional)
Cr 0.0000 0.4981 0.5003  4 Re 2.64-2.65, 4 Rh 2.64, 4 Cr 2.67-2.71
Cr 0.0000 0.0019 0.9997  4 Re 2.64-2.65, 4 Rh 2.64, 4 Cr 2.67-2.71
Re 0.5000 0.2500 0.2500  8 Cr 2.64-2.65, 2 Re 2.67, 2 Rh 2.70
Rh 0.5000 0.7500 0.7500  8 Cr 2.64, 2 Rh 2.67, 2 Re 2.70

Summary:
Formation energy from the elements: 92 meV/atom
Raw total energy: -38.68 eV per cell
Spin magnetization: 0.0 μB per formula unit


Record 7
CdNO2F: optimized geometry, PBE-GGA.

Unit cell a=3.6235 b=3.6235 c=3.8211 alpha=90.00 beta=90.00 gamma=90.00
Closest atoms and distances in Å follow each position.
Element x y z (fractional)
O 0.0000 0.5000 0.0000  2 N 1.81
Cd 0.5000 0.5000 0.5000  4 F 2.56, 8 O 2.63
N 0.0000 0.0000 0.0000  4 O 1.81, 2 F 1.91
O 0.5000 0.0000 0.0000  2 N 1.81
F 0.0000 0.0000 0.5000  2 N 1.91

Summary:
Raw total energy: -18.60 eV per cell
Spin magnetization: 0.0 μB per formula unit


Record 8
Cd2PPd2: optimized geometry, PBE-GGA.

Unit cell a=3.7218 b=3.7218 c=7.3725 alpha=75.38 beta=75.38 gamma=90.00
Closest atoms and distances in Å follow each position.
Element x y z (fractional)
Pd 0.4066 0.4066 0.1869  1 Pd 2.57, 4 Cd 2.85
Pd 0.5934 0.5934 0.8131  1 Pd 2.57, 4 Cd 2.85
P 0.0000 0.0000 0.0000  8 Pd 2.93
Cd 0.2500 0.7500 0.5000  4 Cd 2.63, 4 Pd 2.85
Cd 0.7500 0.2500 0.5000  4 Cd 2.63, 4 Pd 2.85

Summary:
Energy relative to the lowest polymorph listed for this composition: 471 meV per atom
Formation energy from the elements: 231 meV/atom
Raw total energy: -16.47 eV per cell
Spin magnetization: 0.0 μB per formula unit